# GGA+U Li3Ti2V3O10, optimized geometry
# **M_tot**: 6.00 μB/cell
# **DFT total energy**: -7.5850 eV per atom
data_Li3Ti2V3O10
_chemical_formula_sum 'Li3 Ti2 V3 O10'
_cell_length_a 5.1757
_cell_length_b 5.2185
_cell_length_c 7.8268
_cell_angle_alpha 73.77
_cell_angle_beta 73.36
_cell_angle_gamma 77.10
_space_group_name_H-M_alt 'P 1'
_space_group_IT_number 1
_space_group_name_Hall 'P 1'
loop_
_atom_site_label
_atom_site_type_symbol
_atom_site_fract_x
_atom_site_fract_y
_atom_site_fract_z
_atom_site_occupancy
Li1 Li 0.0000 0.0000 0.0000 1
Li2 Li 0.4825 0.7148 0.1059 1
Li3 Li 0.5175 0.2852 0.8941 1
Ti1 Ti 0.0240 0.3831 0.1873 1
Ti2 Ti 0.9760 0.6169 0.8127 1
V1 V 0.0361 0.1893 0.6004 1
V2 V 0.5000 0.5000 0.5000 1
V3 V 0.9639 0.8107 0.3996 1
O1 O 0.1968 0.0423 0.1651 1
O2 O 0.2144 0.8213 0.5604 1
O3 O 0.2157 0.6033 0.9762 1
O4 O 0.2226 0.4610 0.3567 1
O5 O 0.2612 0.2952 0.7264 1
O6 O 0.7388 0.7048 0.2736 1
O7 O 0.7774 0.5390 0.6433 1
O8 O 0.7843 0.3967 0.0238 1
O9 O 0.7856 0.1787 0.4396 1
O10 O 0.8032 0.9577 0.8349 1